Entry 1:
Entry from the Alexandria database: an optimized crystal structure of NaHgTe2N (GGA-PBE).

The space group is P4/mmm (No. 123) and the conventional cell measures 5.694, 5.694 and 4.442 Å, with angles of 90.00, 90.00 and 90.00 degrees. The asymmetric unit holds Na at (0.000, 0.000, 0.000), Hg at (0.500, 0.500, 0.500), Te at (0.000, 0.500, 0.000) and N at (0.000, 0.000, 0.500).

As for the formation energy (no corrections): 1.1229 eV per atom. The excess energy over the best structure of this formula in the dataset comes out at 1.85 eV/f.u.


Entry 2:
Entry from the Alexandria database: an optimized crystal structure of NaHgTe2N (GGA-PBE).

The space group is P4/mmm (No. 123) and the conventional cell measures 6.041, 6.041 and 4.040 Å, with angles of 90.00, 90.00 and 90.00 degrees. The asymmetric unit holds Na at (0.000, 0.000, 0.000), Hg at (0.500, 0.500, 0.500), Te at (0.000, 0.500, 0.500) and N at (0.500, 0.500, 0.000).

As for the formation energy (no corrections): 0.7533 eV per atom. The excess energy over the best structure of this formula in the dataset comes out at 0.00 eV/f.u.


Entry 3:
Entry from the Alexandria database: an optimized crystal structure of NaY2HgN (GGA-PBE).

The space group is P4/mmm (No. 123) and the conventional cell measures 4.729, 4.729 and 4.925 Å, with angles of 90.00, 90.00 and 90.00 degrees. The asymmetric unit holds Na at (0.000, 0.000, 0.000), Y at (0.000, 0.500, 0.500), Hg at (0.500, 0.500, 0.000) and N at (0.000, 0.000, 0.500).

As for the formation energy (no corrections): -0.6276 eV per atom.